Record 1
First-principles (PBE-GGA) data for a relaxed Pa2ZnSi crystal, as listed in Alexandria via LeMat-Bulk.

E_form (uncorrected): -50.2 meV/atom
size of the total moment: 5.8 μB per cell
ΔE to the lowest computed polymorph: 153 meV/atom

abc: 6.9823 6.9823 6.9823
angles: 90.00 90.00 90.00
Space group Fm-3m (No. 225)
One atom of each set of equivalent atoms:
Pa1 0.2500 0.2500 0.2500
Zn1 0.0000 0.0000 0.0000
Si1 0.0000 0.0000 0.5000

---

Record 2
First-principles (PBE-GGA) data for a relaxed La2Al4GaIr3 crystal, as listed in Alexandria via LeMat-Bulk.

formation enthalpy at 0 K: -0.76 eV per atom
size of the total moment: 0.0 μB per cell

abc: 4.2437 4.2437 10.7985
angles: 90.00 90.00 90.00
Space group P-4m2 (No. 115)
One atom of each set of equivalent atoms:
La1 0.0000 0.5000 0.2491
Al1 0.0000 0.0000 0.0000
Al2 0.0000 0.5000 0.6329
Al3 0.5000 0.5000 0.0000
Ga1 0.0000 0.0000 0.5000
Ir1 0.0000 0.5000 0.8696
Ir2 0.5000 0.5000 0.5000